Entry 1:
! Rb3GaSb (PBE-GGA, relaxed); values from VASP
&SYSTEM
  ibrav = 0, nat = 5, ntyp = 3
/
ATOMIC_SPECIES
Sb 121.76 Sb.upf
Ga 69.72 Ga.upf
Rb 85.47 Rb.upf
ATOMIC_POSITIONS crystal
Sb 0.000 0.000 0.000
Ga 0.500 0.500 0.500
Rb 0.000 0.500 0.000
Rb 0.000 0.000 0.500
Rb 0.500 0.000 0.000
CELL_PARAMETERS angstrom
7.079 0.000 0.000
0.000 7.079 0.000
0.000 0.000 7.079
! Uncorrected energy, eV per cell: -9.054
! Raw formation energy, meV/atom: 200
! Polymorph energy (0 for the lowest one), eV per atom: 0.339
! Density of states at the Fermi level, states/eV/f.u.: 5.63

Entry 2:
! Rb2GaSb (PBE-GGA, relaxed); values from VASP
&SYSTEM
  ibrav = 0, nat = 16, ntyp = 3
/
ATOMIC_SPECIES
Rb 85.47 Rb.upf
Ga 69.72 Ga.upf
Sb 121.76 Sb.upf
ATOMIC_POSITIONS crystal
Rb 0.750 0.066 0.156
Rb 0.250 0.434 0.844
Rb 0.250 0.934 0.844
Rb 0.750 0.566 0.156
Rb 0.751 0.615 0.717
Rb 0.251 0.885 0.283
Rb 0.249 0.385 0.283
Rb 0.749 0.115 0.717
Ga 0.747 0.445 0.397
Ga 0.247 0.055 0.603
Ga 0.253 0.555 0.603
Ga 0.753 0.945 0.397
Sb 0.500 0.250 0.500
Sb 0.000 0.250 0.500
Sb 0.500 0.750 0.500
Sb 0.000 0.750 0.500
CELL_PARAMETERS angstrom
-0.017 -4.492 -5.380
8.204 -2.817 2.325
-8.982 -6.431 5.397
! Uncorrected energy, eV per cell: -38.411
! Raw formation energy, meV/atom: -130
! Polymorph energy (0 for the lowest one), eV per atom: 0.015
! Density of states at the Fermi level, states/eV/f.u.: 2.49

Entry 3:
! Rb2Ga2Sb3 (PBE-GGA, relaxed); values from VASP
&SYSTEM
  ibrav = 0, nat = 7, ntyp = 3
/
ATOMIC_SPECIES
Rb 85.47 Rb.upf
Ga 69.72 Ga.upf
Sb 121.76 Sb.upf
ATOMIC_POSITIONS crystal
Rb 0.437 0.230 0.873
Rb 0.563 0.770 0.127
Ga 0.184 0.325 0.369
Ga 0.816 0.675 0.631
Sb 0.000 0.000 0.000
Sb 0.187 0.607 0.373
Sb 0.813 0.393 0.627
CELL_PARAMETERS angstrom
-2.210 -3.155 -1.455
8.236 -5.419 -0.756
-4.009 2.230 7.079
! Uncorrected energy, eV per cell: -21.957
! Raw formation energy, meV/atom: -229
! Polymorph energy (0 for the lowest one), eV per atom: 0.063
! Density of states at the Fermi level, states/eV/f.u.: 2.40

Entry 4:
! Rb5Ga4Sb2 (PBE-GGA, relaxed); values from VASP
&SYSTEM
  ibrav = 0, nat = 11, ntyp = 3
/
ATOMIC_SPECIES
Rb 85.47 Rb.upf
Ga 69.72 Ga.upf
Sb 121.76 Sb.upf
ATOMIC_POSITIONS crystal
Rb 0.156 0.335 0.868
Rb 0.844 0.665 0.132
Rb 0.000 0.500 0.500
Rb 0.641 0.335 0.868
Rb 0.359 0.665 0.132
Ga 0.289 0.909 0.513
Ga 0.711 0.091 0.487
Ga 0.674 0.892 0.761
Ga 0.326 0.108 0.239
Sb 0.165 0.893 0.777
Sb 0.835 0.107 0.223
CELL_PARAMETERS angstrom
-0.752 2.816 -6.788
-6.020 -1.450 -3.954
-8.086 7.010 -0.215
! Uncorrected energy, eV per cell: -25.642
! Raw formation energy, meV/atom: -41
! Density of states at the Fermi level, states/eV/f.u.: 6.33

Entry 5:
! Rb3Ga2Sb3 (PBE-GGA, relaxed); values from VASP
&SYSTEM
  ibrav = 0, nat = 16, ntyp = 3
/
ATOMIC_SPECIES
Rb 85.47 Rb.upf
Ga 69.72 Ga.upf
Sb 121.76 Sb.upf
ATOMIC_POSITIONS crystal
Rb 0.937 0.874 0.391
Rb 0.063 0.126 0.891
Rb 0.937 0.874 0.109
Rb 0.063 0.126 0.609
Rb 0.644 0.288 0.250
Rb 0.356 0.712 0.750
Ga 0.759 0.518 0.907
Ga 0.241 0.482 0.407
Ga 0.759 0.518 0.593
Ga 0.241 0.482 0.093
Sb 0.649 0.299 0.455
Sb 0.351 0.701 0.955
Sb 0.649 0.299 0.045
Sb 0.351 0.701 0.545
Sb 0.325 0.649 0.250
Sb 0.675 0.351 0.750
CELL_PARAMETERS angstrom
4.675 0.000 0.000
-2.337 7.626 0.000
0.000 0.000 16.291
! Uncorrected energy, eV per cell: -47.690
! Raw formation energy, meV/atom: -315
! Density of states at the Fermi level, states/eV/f.u.: 1.56

Entry 6:
! Rb5Ga2Sb5 (PBE-GGA, relaxed); values from VASP
&SYSTEM
  ibrav = 0, nat = 12, ntyp = 3
/
ATOMIC_SPECIES
Rb 85.47 Rb.upf
Ga 69.72 Ga.upf
Sb 121.76 Sb.upf
ATOMIC_POSITIONS crystal
Rb 0.500 0.000 0.500
Rb 0.725 0.449 0.113
Rb 0.657 0.315 0.299
Rb 0.343 0.685 0.701
Rb 0.275 0.551 0.887
Ga 0.039 0.077 0.867
Ga 0.961 0.923 0.133
Sb 0.044 0.088 0.361
Sb 0.575 0.150 0.779
Sb 0.425 0.850 0.221
Sb 0.956 0.912 0.639
Sb 0.000 0.000 0.000
CELL_PARAMETERS angstrom
5.180 0.000 0.000
-2.590 9.533 -2.075
0.000 -9.895 12.914
! Uncorrected energy, eV per cell: -34.394
! Raw formation energy, meV/atom: -241
! Density of states at the Fermi level, states/eV/f.u.: 0.84